Entry 1:
DFT (PBE-GGA) results for a relaxed SrMg2Pt crystal.

The structure in extended XYZ format:
```
8
Lattice="-3.1251 4.0512 -1.5373 -3.6983 -3.4814 -1.6565 -7.1364 0.4419 6.3889" Properties=species:S:1:pos:R:3 pbc="T T T"
Sr -3.4117 0.2849 -1.5969
Sr -7.1232 -1.3773 1.5677
Mg -4.9697 3.2057 0.0505
Mg -6.8410 1.4938 -0.7887
Mg -6.9996 1.4031 4.0022
Mg -8.5359 3.4534 3.2454
Pt 0.0000 0.0000 0.0000
Pt -6.8366 2.3890 1.6274
```

Results
density of states at the Fermi level	0.532	states/eV/atom
E_tot	-2.891	eV/atom

Entry 2:
DFT (PBE-GGA) results for a relaxed SrMg2Pt crystal.

The structure in extended XYZ format:
```
4
Lattice="3.6172 0.0000 0.0000 0.0000 3.6156 0.0000 0.0000 0.0000 7.5419" Properties=species:S:1:pos:R:3 pbc="T T T"
Mg 0.0000 0.0000 0.4842
Mg 1.8086 1.8078 2.2136
Pt 0.0000 0.0000 3.2728
Sr 1.8086 1.8078 5.3423
```

Results
density of states at the Fermi level	0.460	states/eV/atom
E_tot	-3.163	eV/atom

Entry 3:
DFT (PBE-GGA) results for a relaxed SrMg5Pt2 crystal.

The structure in extended XYZ format:
```
8
Lattice="-1.1759 4.0511 0.8244 -4.3121 2.0617 -5.0777 -6.4993 -0.1202 2.5244" Properties=species:S:1:pos:R:3 pbc="T T T"
Sr 0.0000 0.0000 0.0000
Mg -5.4057 0.9708 -1.2767
Mg -3.9746 3.7521 -1.6983
Mg -8.0127 2.2406 -0.0306
Mg -7.2068 3.0444 -2.8314
Mg -4.7804 2.9482 1.1024
Pt -9.0029 4.4917 -1.3011
Pt -2.9844 1.5009 -0.4279
```

Results
density of states at the Fermi level	0.521	states/eV/atom
E_tot	-3.317	eV/atom

Entry 4:
DFT (PBE-GGA) results for a relaxed SrMgPt2 crystal.

The structure in extended XYZ format:
```
4
Lattice="3.7408 0.0000 0.0000 0.0000 3.7408 0.0000 0.0000 0.0000 6.3028" Properties=species:S:1:pos:R:3 pbc="T T T"
Mg 1.8704 1.8704 5.2747
Pt 0.0000 0.0000 6.0434
Pt 1.8704 1.8704 1.5442
Sr 0.0000 0.0000 2.8947
```

Results
density of states at the Fermi level	0.740	states/eV/atom
E_tot	-4.215	eV/atom

Entry 5:
DFT (PBE-GGA) results for a relaxed SrMg2Pt crystal.

The structure in extended XYZ format:
```
32
Lattice="-0.8518 5.7297 -1.6076 -4.1047 1.3068 6.8323 13.8534 4.1708 7.5250" Properties=species:S:1:pos:R:3 pbc="T T T"
Sr 0.4340 3.5637 1.9662
Sr 1.1660 8.0485 6.3223
Sr 8.4629 7.6436 10.7835
Sr 7.7309 3.1589 6.4274
Sr 3.7999 6.4562 3.4351
Sr -1.8829 3.0235 5.4517
Sr 5.0970 4.7511 9.3146
Sr 10.7798 8.1838 7.2980
Mg 1.8593 6.5438 0.4073
Mg -0.2733 5.1627 7.8547
Mg 8.6240 4.1584 9.7018
Mg 7.5838 6.5497 7.5356
Mg 7.0376 4.6635 12.3424
Mg 9.1702 6.0447 4.8950
Mg 0.2729 7.0489 3.0479
Mg 1.3131 4.6576 5.2141
Mg -2.3395 5.4905 2.9074
Mg 4.2309 4.1619 5.9310
Mg 12.7825 5.2246 7.2690
Mg 3.1201 7.5376 9.3921
Mg 11.2365 5.7168 9.8424
Mg 4.6661 7.0454 6.8187
Mg -3.8855 5.9827 5.4807
Mg 5.7769 3.6697 3.3576
Pt 3.0637 3.0939 3.6359
Pt -1.1047 6.1033 5.3302
Pt 5.8332 8.1135 9.1138
Pt 10.0016 5.1040 7.4195
Pt -0.8955 6.2131 0.6607
Pt 2.4795 5.5074 7.5974
Pt 9.7925 4.9942 12.0890
Pt 6.4175 5.6999 5.1523
```

Results
density of states at the Fermi level	0.454	states/eV/atom
E_tot	-3.346	eV/atom

Entry 6:
DFT (PBE-GGA) results for a relaxed Sr2MgZnPt crystal.

The structure in extended XYZ format:
```
5
Lattice="-1.4134 -3.2689 4.6428 -4.1802 -2.6389 -3.1306 3.2527 -3.4475 -1.4371" Properties=species:S:1:pos:R:3 pbc="T T T"
Sr -2.0901 -1.3195 -1.5653
Sr -0.7067 -1.6345 2.3214
Zn 1.6263 -1.7238 -0.7186
Mg -1.1705 -4.6777 0.0375
Pt 0.0000 0.0000 0.0000
```

Results
density of states at the Fermi level	0.576	states/eV/atom
relative energy among the computed polymorphs	23	meV/atom
E_tot	-2.769	eV/atom

Entry 7:
DFT (PBE-GGA) results for a relaxed Sr2MgZnPt crystal.

The structure in extended XYZ format:
```
5
Lattice="5.8306 0.0000 0.0000 0.0000 5.8306 0.0000 0.0000 0.0000 5.0866" Properties=species:S:1:pos:R:3 pbc="T T T"
Sr 0.0000 2.9153 0.0000
Sr 2.9153 0.0000 0.0000
Zn 2.9153 2.9153 2.5433
Mg 0.0000 0.0000 2.5433
Pt 0.0000 0.0000 0.0000
```

Results
density of states at the Fermi level	0.184	states/eV/atom
relative energy among the computed polymorphs	0	meV/atom
E_tot	-2.792	eV/atom

Entry 8:
DFT (PBE-GGA) results for a relaxed Sr2MgZn3Pt4 crystal.

The structure in extended XYZ format:
```
10
Lattice="-3.7588 -1.9309 0.7597 0.5297 -2.4128 -3.5117 5.1553 -7.6594 6.0402" Properties=species:S:1:pos:R:3 pbc="T T T"
Sr -0.6562 -2.7829 1.8131
Sr 4.1969 -7.0484 2.8511
Mg 0.9631 -6.0016 1.6441
Zn 2.5777 -3.8297 3.0201
Zn 2.6165 -7.6452 5.6475
Zn 0.9242 -2.1861 -0.9833
Pt -1.6146 -2.1718 -1.3760
Pt 0.0000 0.0000 0.0000
Pt 1.4225 -5.8711 4.2485
Pt 2.1183 -3.9601 0.4157
```

Results
density of states at the Fermi level	0.311	states/eV/atom
E_tot	-4.021	eV/atom

ΔH_f (0 K): -0.16, -0.43, -0.60, -0.38, -0.62, -0.31, -0.34, -0.73 (eV/atom)